[1]
## ZrInHg2 (PBE)

Data for a relaxed structure of ZrInHg2.

Summary:
size of the total moment: 0.00 μB per formula unit
formation energy from the elements: 0.008 eV/atom
DFT total energy: -2.96 eV/atom

Unit cell a=3.2751 b=3.2751 c=30.6393 alpha=90.00 beta=90.00 gamma=120.00
Space group R3m (No. 160, hexagonal axes)
One atom of each set of equivalent atoms:
Zr 0.0000 0.0000 0.0000 (multiplicity 3)
In 0.0000 0.0000 0.2516 (multiplicity 3)
Hg 0.0000 0.0000 0.4990 (multiplicity 3)
Hg 0.0000 0.0000 0.7464 (multiplicity 3)

=====

[2]
## ZrIn2Hg2 (PBE)

Data for a relaxed structure of ZrIn2Hg2.

Summary:
size of the total moment: 0.00 μB per formula unit
polymorph energy (0 for the lowest one): 0 meV per atom
formation energy from the elements: 0.087 eV/atom
DFT total energy: -2.84 eV/atom

Unit cell a=8.158 b=8.158 c=3.568 alpha=90.00 beta=90.00 gamma=90.00
Space group P4/mbm (No. 127)
One atom of each set of equivalent atoms:
Zr 0.000 0.000 0.000 (multiplicity 2)
In 0.173 0.327 0.500 (multiplicity 4)
Hg 0.131 0.631 0.000 (multiplicity 4)

=====

[3]
## Zr5In2Hg2 (PBE)

Data for a relaxed structure of Zr5In2Hg2.

Summary:
size of the total moment: 0.01 μB per formula unit
formation energy from the elements: -0.092 eV/atom
DFT total energy: -5.52 eV/atom

Unit cell a=14.665 b=7.572 c=7.577 alpha=90.00 beta=90.00 gamma=90.00
Space group Cmce (No. 64)
One atom of each set of equivalent atoms:
Zr 0.000 0.000 0.000 (multiplicity 4)
Zr 0.137 0.183 0.328 (multiplicity 16)
In 0.000 0.127 0.631 (multiplicity 8)
Hg 0.211 0.000 0.000 (multiplicity 8)

=====

[4]
## Zr5In2Hg (PBE)

Data for a relaxed structure of Zr5In2Hg.

Summary:
size of the total moment: 0.00 μB per formula unit
formation energy from the elements: -0.215 eV/atom
DFT total energy: -6.28 eV/atom

Unit cell a=4.472 b=4.472 c=17.697 alpha=90.00 beta=90.00 gamma=90.00
Space group I4/mmm (No. 139)
One atom of each set of equivalent atoms:
Zr 0.000 0.000 0.000 (multiplicity 2)
Zr 0.000 0.500 0.125 (multiplicity 8)
In 0.000 0.000 0.250 (multiplicity 4)
Hg 0.000 0.000 0.500 (multiplicity 2)

=====

[5]
## Zr3InHg2 (PBE)

Data for a relaxed structure of Zr3InHg2.

Summary:
size of the total moment: 0.00 μB per formula unit
formation energy from the elements: -0.230 eV/atom
DFT total energy: -5.06 eV/atom

Unit cell a=3.186 b=3.186 c=12.840 alpha=90.00 beta=90.00 gamma=90.00
Space group P4/mmm (No. 123)
One atom of each set of equivalent atoms:
Zr 0.000 0.000 0.000 (multiplicity 1)
Zr 0.000 0.000 0.331 (multiplicity 2)
In 0.500 0.500 0.500 (multiplicity 1)
Hg 0.500 0.500 0.165 (multiplicity 2)

=====

[6]
## Zr2InHg (PBE)

Data for a relaxed structure of Zr2InHg.

Summary:
size of the total moment: 0.00 μB per formula unit
formation energy from the elements: -0.248 eV/atom
DFT total energy: -5.28 eV/atom

Unit cell a=3.179 b=4.354 c=6.305 alpha=90.00 beta=90.00 gamma=90.00
Space group Pmmm (No. 47)
One atom of each set of equivalent atoms:
Zr 0.000 0.000 0.248 (multiplicity 2)
In 0.500 0.500 0.500 (multiplicity 1)
Hg 0.500 0.500 0.000 (multiplicity 1)

=====

[7]
## ZrInHg (PBE)

Data for a relaxed structure of ZrInHg.

Summary:
size of the total moment: 0.00 μB per formula unit
polymorph energy (0 for the lowest one): 0 meV per atom
formation energy from the elements: -0.116 eV/atom
DFT total energy: -3.98 eV/atom

Unit cell a=3.244 b=3.244 c=12.803 alpha=90.00 beta=90.00 gamma=90.00
Space group I4mm (No. 107)
One atom of each set of equivalent atoms:
Zr 0.000 0.000 0.000 (multiplicity 2)
In 0.000 0.000 0.666 (multiplicity 2)
Hg 0.000 0.000 0.339 (multiplicity 2)

=====

[8]
## ZrIn3Hg (PBE)

Data for a relaxed structure of ZrIn3Hg.

Summary:
size of the total moment: 0.00 μB per formula unit
polymorph energy (0 for the lowest one): 241 meV per atom
formation energy from the elements: 0.785 eV/atom
DFT total energy: -2.63 eV/atom

Unit cell a=5.366 b=5.366 c=5.366 alpha=90.00 beta=90.00 gamma=90.00
Space group Pm-3m (No. 221)
One atom of each set of equivalent atoms:
Zr 0.000 0.000 0.000 (multiplicity 1)
In 0.000 0.500 0.500 (multiplicity 3)
Hg 0.500 0.500 0.500 (multiplicity 1)

=====

[9]
## HgIr5 (PBE)

Data for a relaxed structure of HgIr5.

Summary:
size of the total moment: 0.00 μB per formula unit
formation energy from the elements: 0.351 eV/atom
DFT total energy: -7.08 eV/atom

Unit cell a=4.545 b=2.780 c=14.760 alpha=90.00 beta=90.00 gamma=90.00
Space group Amm2 (No. 38)
One atom of each set of equivalent atoms:
Hg 0.000 0.000 0.000 (multiplicity 2)
Ir 0.000 0.000 0.324 (multiplicity 2)
Ir 0.000 0.000 0.671 (multiplicity 2)
Ir 0.500 0.000 0.116 (multiplicity 2)
Ir 0.500 0.000 0.434 (multiplicity 2)
Ir 0.500 0.000 0.778 (multiplicity 2)

=====

[10]
## Hg5Ir (PBE)

Data for a relaxed structure of Hg5Ir.

Summary:
size of the total moment: 0.00 μB per formula unit
polymorph energy (0 for the lowest one): 487 meV per atom
formation energy from the elements: 0.751 eV/atom
DFT total energy: -0.98 eV/atom

Unit cell a=5.3947 b=5.3947 c=5.9007 alpha=90.00 beta=90.00 gamma=120.00
Space group P6/mmm (No. 191)
One atom of each set of equivalent atoms:
Hg 0.0000 0.5000 0.0000 (multiplicity 3)
Hg 0.3333 0.6667 0.5000 (multiplicity 2)
Ir 0.0000 0.0000 0.5000 (multiplicity 1)

=====

[11]
## HgIr (PBE)

Data for a relaxed structure of HgIr.

Summary:
size of the total moment: 0.00 μB per formula unit
formation energy from the elements: 0.698 eV/atom
DFT total energy: -3.88 eV/atom

Unit cell a=4.4708 b=4.4708 c=4.9226 alpha=90.00 beta=90.00 gamma=120.00
Space group P6_3/mmc (No. 194)
One atom of each set of equivalent atoms:
Hg 0.3333 0.6667 0.2500 (multiplicity 2)
Ir 0.0000 0.0000 0.0000 (multiplicity 2)

=====

[12]
## Hg3Ir2 (PBE)

Data for a relaxed structure of Hg3Ir2.

Summary:
size of the total moment: 0.59 μB per formula unit
formation energy from the elements: 0.542 eV/atom
DFT total energy: -3.18 eV/atom

Unit cell a=2.9907 b=2.9907 c=35.9918 alpha=90.00 beta=90.00 gamma=120.00
Space group R-3m (No. 166, hexagonal axes)
One atom of each set of equivalent atoms:
Hg 0.0000 0.0000 0.0000 (multiplicity 3)
Hg 0.0000 0.0000 0.2055 (multiplicity 6)
Ir 0.0000 0.0000 0.3964 (multiplicity 6)

=====

[13]
## Hg3Ir5 (PBE)

Data for a relaxed structure of Hg3Ir5.

Summary:
size of the total moment: 1.15 μB per formula unit
formation energy from the elements: 0.843 eV/atom
DFT total energy: -4.81 eV/atom

Unit cell a=8.4076 b=8.4076 c=4.8275 alpha=90.00 beta=90.00 gamma=120.00
Space group P6_3/mcm (No. 193)
One atom of each set of equivalent atoms:
Hg 0.0000 0.3895 0.2500 (multiplicity 6)
Ir 0.0000 0.1792 0.7500 (multiplicity 6)
Ir 0.3333 0.6667 0.0000 (multiplicity 4)

=====

[14]
## HgIr (PBE)

Data for a relaxed structure of HgIr.

Summary:
size of the total moment: 0.00 μB per formula unit
formation energy from the elements: 0.490 eV/atom
DFT total energy: -4.09 eV/atom

Unit cell a=12.702 b=2.900 c=5.959 alpha=90.00 beta=100.68 gamma=90.00
Space group Cm (No. 8)
One atom of each set of equivalent atoms:
Hg 0.000 0.000 0.000 (multiplicity 2)
Hg 0.017 0.000 0.494 (multiplicity 2)
Hg 0.190 0.500 0.871 (multiplicity 2)
Ir 0.206 0.500 0.376 (multiplicity 2)
Ir 0.341 0.000 0.193 (multiplicity 2)
Ir 0.344 0.000 0.667 (multiplicity 2)

=====

[15]
## HgIr2 (PBE)

Data for a relaxed structure of HgIr2.

Summary:
size of the total moment: 0.00 μB per formula unit
formation energy from the elements: 0.399 eV/atom
DFT total energy: -5.61 eV/atom

Unit cell a=2.8566 b=2.8566 c=7.0113 alpha=90.00 beta=90.00 gamma=120.00
Space group P-3m1 (No. 164)
One atom of each set of equivalent atoms:
Hg 0.0000 0.0000 0.0000 (multiplicity 1)
Ir 0.3333 0.6667 0.6476 (multiplicity 2)

=====

[16]
## HgIr (PBE)

Data for a relaxed structure of HgIr.

Summary:
size of the total moment: 0.00 μB per formula unit
formation energy from the elements: 0.565 eV/atom
DFT total energy: -4.02 eV/atom

Unit cell a=7.412 b=8.193 c=4.249 alpha=90.00 beta=90.00 gamma=90.00
Space group Cmmm (No. 65)
One atom of each set of equivalent atoms:
Hg 0.000 0.000 0.000 (multiplicity 2)
Hg 0.250 0.250 0.500 (multiplicity 4)
Ir 0.000 0.330 0.000 (multiplicity 4)
Ir 0.000 0.500 0.500 (multiplicity 2)

=====

[17]
## HgIr4 (PBE)

Data for a relaxed structure of HgIr4.

Summary:
size of the total moment: 0.00 μB per formula unit
polymorph energy (0 for the lowest one): 115 meV per atom
formation energy from the elements: 0.474 eV/atom
DFT total energy: -6.67 eV/atom

Unit cell a=3.710 b=3.710 c=12.559 alpha=90.00 beta=90.00 gamma=90.00
Space group I4/mmm (No. 139)
One atom of each set of equivalent atoms:
Hg 0.000 0.000 0.000 (multiplicity 2)
Ir 0.000 0.000 0.398 (multiplicity 4)
Ir 0.000 0.500 0.250 (multiplicity 4)

=====

[18]
## HgIr4 (PBE)

Data for a relaxed structure of HgIr4.

Summary:
size of the total moment: 0.00 μB per formula unit
polymorph energy (0 for the lowest one): 0 meV per atom
formation energy from the elements: 0.360 eV/atom
DFT total energy: -6.79 eV/atom

Unit cell a=6.303 b=6.303 c=3.943 alpha=90.00 beta=90.00 gamma=90.00
Space group I4/m (No. 87)
One atom of each set of equivalent atoms:
Hg 0.000 0.000 0.000 (multiplicity 2)
Ir 0.099 0.313 0.500 (multiplicity 8)

=====

[19]
## Hg5Ir (PBE)

Data for a relaxed structure of Hg5Ir.

Summary:
size of the total moment: 0.00 μB per formula unit
polymorph energy (0 for the lowest one): 463 meV per atom
formation energy from the elements: 0.727 eV/atom
DFT total energy: -1.00 eV/atom

Unit cell a=8.131 b=8.131 c=8.131 alpha=90.00 beta=90.00 gamma=90.00
Space group F-43m (No. 216)
One atom of each set of equivalent atoms:
Hg 0.000 0.000 0.000 (multiplicity 4)
Hg 0.125 0.125 0.625 (multiplicity 16)
Ir 0.250 0.250 0.250 (multiplicity 4)

=====

[20]
## Hg5Ir (PBE)

Data for a relaxed structure of Hg5Ir.

Summary:
size of the total moment: 0.00 μB per formula unit
polymorph energy (0 for the lowest one): 51 meV per atom
formation energy from the elements: 0.315 eV/atom
DFT total energy: -1.41 eV/atom

Unit cell a=4.528 b=3.080 c=21.463 alpha=90.00 beta=90.00 gamma=90.00
Space group Amm2 (No. 38)
One atom of each set of equivalent atoms:
Hg 0.000 0.000 0.000 (multiplicity 2)
Hg 0.000 0.000 0.307 (multiplicity 2)
Hg 0.000 0.000 0.627 (multiplicity 2)
Hg 0.500 0.000 0.208 (multiplicity 2)
Hg 0.500 0.000 0.888 (multiplicity 2)
Ir 0.500 0.000 0.497 (multiplicity 2)